LaRe3 | Alexandria | PBEsol | relaxed; formation enthalpy at 0 K = 639 meV per atom; space-group type = Imm2, No. 44; raw total energy = -10.70 eV per atom; energy above the most stable polymorph in this dataset = 0.89 eV per formula unit
1.0
2.933 0.000 0.000
0.000 5.077 0.000
-1.466 -2.539 4.734
Re La
3 1
Cartesian
1.466 2.663 0.000
0.000 3.213 2.094
1.466 0.674 2.640
0.000 0.220 0.000



LaRe3 | Alexandria | PBEsol | relaxed; formation enthalpy at 0 K = 4344 meV per atom; space-group type = Pm-3m, No. 221; raw total energy = -6.99 eV per atom; energy above the most stable polymorph in this dataset = 15.71 eV per formula unit
1.0
4.785 0.000 0.000
0.000 4.785 0.000
0.000 0.000 4.785
La Re
1 3
Cartesian
0.000 0.000 0.000
0.000 2.392 0.000
2.392 0.000 0.000
0.000 0.000 2.392



LaReRh2 | Alexandria | PBEsol | relaxed; formation enthalpy at 0 K = 247 meV per atom; space-group type = R-3m, No. 166; raw total energy = -8.49 eV per atom; energy above the most stable polymorph in this dataset = 1.20 eV per formula unit
1.0
2.830 0.000 0.000
1.415 2.451 0.000
1.415 0.817 9.548
Rh Re La
2 1 1
Cartesian
4.245 2.451 7.453
1.415 0.817 2.096
0.000 0.000 0.000
2.830 1.634 4.774



LaRe2Rh | Alexandria | PBEsol | relaxed; formation enthalpy at 0 K = 366 meV per atom; space-group type = Cm, No. 8; raw total energy = -9.67 eV per atom; energy above the most stable polymorph in this dataset = 0.00 eV per formula unit
1.0
2.908 0.000 0.000
-1.454 4.422 0.028
0.000 -0.990 5.831
Re La Rh
2 1 1
Cartesian
0.000 1.417 4.543
1.454 3.380 5.307
1.454 1.979 1.576
1.454 -0.407 3.207



LaReRh | Alexandria | PBEsol | relaxed; formation enthalpy at 0 K = 119 meV per atom; space-group type = P-6m2, No. 187; raw total energy = -8.82 eV per atom
1.0
-3.346 -1.250 -2.183
3.850 -0.903 -1.371
-0.076 -3.811 2.298
Rh Re La
1 1 1
Cartesian
1.414 -2.924 -0.492
-0.985 -3.040 -0.763
0.000 0.000 0.000



LaReRh2 | Alexandria | PBEsol | relaxed; formation enthalpy at 0 K = -53 meV per atom; space-group type = P4/mmm, No. 123; raw total energy = -8.79 eV per atom; energy above the most stable polymorph in this dataset = 0.00 eV per formula unit
1.0
-0.514 -2.385 1.524
2.306 0.546 1.632
-4.659 4.291 5.145
Re Rh La
1 2 1
Cartesian
-1.433 1.226 4.151
-1.359 1.252 1.501
-3.300 3.039 3.644
0.896 -0.920 1.578



LaReRh2 | Alexandria | PBEsol | relaxed; formation enthalpy at 0 K = 356 meV per atom; space-group type = F-43m, No. 216; raw total energy = -8.38 eV per atom; energy above the most stable polymorph in this dataset = 1.63 eV per formula unit
1.0
-0.211 -3.602 -2.810
3.294 -0.679 -3.099
2.935 -3.470 0.506
Rh Re La
2 1 1
Cartesian
1.504 -1.938 -1.351
0.000 0.000 0.000
4.513 -5.813 -4.052
3.009 -3.876 -2.701



LaRe2Rh | Alexandria | PBEsol | relaxed; formation enthalpy at 0 K = 866 meV per atom; space-group type = P4/mmm, No. 123; raw total energy = -9.17 eV per atom; energy above the most stable polymorph in this dataset = 2.00 eV per formula unit
1.0
3.119 0.000 0.000
0.000 4.683 0.000
0.000 0.000 4.683
Re La Rh
2 1 1
Cartesian
0.000 0.000 2.342
0.000 2.342 0.000
1.559 0.000 0.000
1.559 2.342 2.342